{"formula": "TaFe3Cl", "functional": "PBE", "state": "relaxed", "lattice_angstrom": [[4.1099, 0.0000, 0.0000], [0.0000, 4.1099, 0.0000], [0.0000, 0.0000, 4.1099]], "species": ["Ta", "Fe", "Fe", "Fe", "Cl"], "frac_coords": [[0.0000, 0.0000, 0.0000], [0.0000, 0.5000, 0.5000], [0.5000, 0.0000, 0.5000], [0.5000, 0.5000, 0.0000], [0.5000, 0.5000, 0.5000]], "m_tot_mub_per_fu": 3.705, "e_above_lowest_polymorph_mev_per_atom": 0, "n_ef_per_ev_atom": 1.137, "vol_a3_per_atom": 13.88}


{"formula": "TaFeCl2", "functional": "PBE", "state": "relaxed", "lattice_angstrom": [[5.3555, 0.0000, 0.0000], [0.0000, 3.2591, 0.0000], [-1.8567, 0.0000, 8.9389]], "species": ["Ta", "Ta", "Fe", "Fe", "Cl", "Cl", "Cl", "Cl"], "frac_coords": [[0.0000, 0.0000, 0.0000], [0.5000, 0.5000, 0.0000], [0.1651, 0.5000, 0.2189], [0.6651, 0.0000, 0.2189], [0.0628, 0.0000, 0.3938], [0.0953, 0.5000, 0.8032], [0.5628, 0.5000, 0.3938], [0.5953, 0.0000, 0.8032]], "m_tot_mub_per_fu": 2.650, "e_above_lowest_polymorph_mev_per_atom": 0, "n_ef_per_ev_atom": 0.509, "vol_a3_per_atom": 19.50}


{"formula": "Ta2FeCl", "functional": "PBE", "state": "relaxed", "lattice_angstrom": [[2.9388, 0.0000, 0.0000], [0.0000, 2.9388, 0.0000], [0.0000, 0.0000, 7.1778]], "species": ["Ta", "Ta", "Fe", "Cl"], "frac_coords": [[0.0000, 0.0000, 0.2228], [0.0000, 0.0000, 0.7772], [0.5000, 0.5000, 0.0000], [0.5000, 0.5000, 0.5000]], "m_tot_mub_per_fu": 0.556, "e_above_lowest_polymorph_mev_per_atom": 134, "n_ef_per_ev_atom": 0.820, "vol_a3_per_atom": 15.50}


{"formula": "TaFeCl2", "functional": "PBE", "state": "relaxed", "lattice_angstrom": [[3.2059, 0.0000, 0.0000], [0.0000, 3.2059, 0.0000], [0.0000, 0.0000, 5.8986]], "species": ["Ta", "Fe", "Cl", "Cl"], "frac_coords": [[0.0000, 0.0000, 0.0000], [0.0000, 0.0000, 0.5000], [0.5000, 0.5000, 0.2459], [0.5000, 0.5000, 0.7541]], "m_tot_mub_per_fu": 1.943, "e_above_lowest_polymorph_mev_per_atom": 1076, "n_ef_per_ev_atom": 1.196, "vol_a3_per_atom": 15.16}


{"formula": "TaFeCl2", "functional": "PBE", "state": "relaxed", "lattice_angstrom": [[6.4761, 0.0000, 0.0000], [0.0000, 6.4761, 0.0000], [0.0000, 0.0000, 6.4761]], "species": ["Ta", "Ta", "Ta", "Ta", "Fe", "Fe", "Fe", "Fe", "Cl", "Cl", "Cl", "Cl", "Cl", "Cl", "Cl", "Cl"], "frac_coords": [[0.0000, 0.0000, 0.0000], [0.0000, 0.5000, 0.5000], [0.5000, 0.0000, 0.5000], [0.5000, 0.5000, 0.0000], [0.2500, 0.2500, 0.7500], [0.2500, 0.7500, 0.2500], [0.7500, 0.2500, 0.2500], [0.7500, 0.7500, 0.7500], [0.0000, 0.0000, 0.5000], [0.0000, 0.5000, 0.0000], [0.2500, 0.2500, 0.2500], [0.2500, 0.7500, 0.7500], [0.5000, 0.0000, 0.0000], [0.5000, 0.5000, 0.5000], [0.7500, 0.2500, 0.7500], [0.7500, 0.7500, 0.2500]], "m_tot_mub_per_fu": 0.999, "e_above_lowest_polymorph_mev_per_atom": 1173, "n_ef_per_ev_atom": 0.627, "vol_a3_per_atom": 16.98}


{"formula": "Ta2FeCl", "functional": "PBE", "state": "relaxed", "lattice_angstrom": [[6.2289, 0.0000, 0.0000], [0.0000, 7.1274, 0.0000], [-0.7413, 0.0000, 2.7901]], "species": ["Ta", "Ta", "Ta", "Ta", "Fe", "Fe", "Cl", "Cl"], "frac_coords": [[0.2500, 0.2500, 0.0000], [0.2500, 0.7500, 0.0000], [0.7500, 0.2500, 0.0000], [0.7500, 0.7500, 0.0000], [0.0000, 0.0000, 0.5000], [0.5000, 0.5000, 0.5000], [0.0000, 0.5000, 0.5000], [0.5000, 0.0000, 0.5000]], "m_tot_mub_per_fu": 1.034, "e_above_lowest_polymorph_mev_per_atom": 443, "n_ef_per_ev_atom": 0.866, "vol_a3_per_atom": 15.48}


{"formula": "TaFeCl2", "functional": "PBE", "state": "relaxed", "lattice_angstrom": [[2.9596, 0.0000, 0.0000], [0.0000, 2.9596, 0.0000], [0.0000, 0.0000, 9.6648]], "species": ["Ta", "Fe", "Cl", "Cl"], "frac_coords": [[0.0000, 0.0000, 0.0000], [0.0000, 0.0000, 0.5000], [0.5000, 0.5000, 0.1626], [0.5000, 0.5000, 0.8374]], "m_tot_mub_per_fu": 3.214, "e_above_lowest_polymorph_mev_per_atom": 929, "n_ef_per_ev_atom": 1.165, "vol_a3_per_atom": 21.16}


{"formula": "Ta2FeCl", "functional": "PBE", "state": "relaxed", "lattice_angstrom": [[2.9253, 0.0000, 0.0000], [0.0000, 4.5360, 0.0000], [0.0000, 0.0000, 9.1920]], "species": ["Ta", "Ta", "Ta", "Ta", "Fe", "Fe", "Cl", "Cl"], "frac_coords": [[0.0000, 0.0000, 0.0000], [0.0000, 0.5000, 0.2070], [0.5000, 0.0000, 0.7070], [0.5000, 0.5000, 0.5000], [0.0000, 0.0000, 0.4676], [0.5000, 0.5000, 0.9676], [0.0000, 0.5000, 0.7449], [0.5000, 0.0000, 0.2449]], "m_tot_mub_per_fu": 0.000, "e_above_lowest_polymorph_mev_per_atom": 427, "n_ef_per_ev_atom": 0.954, "vol_a3_per_atom": 15.25}


{"formula": "Ta2FeCl", "functional": "PBE", "state": "relaxed", "lattice_angstrom": [[6.5453, 0.0000, 0.0000], [0.0000, 3.6261, 0.0000], [-3.1442, 0.0000, 6.5232]], "species": ["Ta", "Ta", "Ta", "Ta", "Fe", "Fe", "Cl", "Cl"], "frac_coords": [[0.1001, 0.0000, 0.3372], [0.3999, 0.5000, 0.6628], [0.6001, 0.5000, 0.3372], [0.8999, 0.0000, 0.6628], [0.0000, 0.5000, 0.5000], [0.5000, 0.0000, 0.5000], [0.0000, 0.5000, 0.0000], [0.5000, 0.0000, 0.0000]], "m_tot_mub_per_fu": 0.000, "e_above_lowest_polymorph_mev_per_atom": 10, "n_ef_per_ev_atom": 0.382, "vol_a3_per_atom": 19.35}


{"formula": "TaFeCl", "functional": "PBE", "state": "relaxed", "lattice_angstrom": [[4.1640, 0.0000, 0.0000], [-2.0820, 3.6062, 0.0000], [0.0000, 0.0000, 2.9135]], "species": ["Ta", "Fe", "Cl"], "frac_coords": [[0.0000, 0.0000, 0.0000], [0.3333, 0.6667, 0.4273], [0.6667, 0.3333, 0.2166]], "m_tot_mub_per_fu": 0.000, "e_above_lowest_polymorph_mev_per_atom": 446, "n_ef_per_ev_atom": 0.504, "vol_a3_per_atom": 14.58}


{"formula": "TaFe2Cl", "functional": "PBE", "state": "relaxed", "lattice_angstrom": [[6.1282, 0.0000, 0.0000], [0.0000, 6.1282, 0.0000], [0.0000, 0.0000, 6.1282]], "species": ["Ta", "Ta", "Ta", "Ta", "Fe", "Fe", "Fe", "Fe", "Fe", "Fe", "Fe", "Fe", "Cl", "Cl", "Cl", "Cl"], "frac_coords": [[0.0000, 0.0000, 0.0000], [0.0000, 0.5000, 0.5000], [0.5000, 0.0000, 0.5000], [0.5000, 0.5000, 0.0000], [0.2500, 0.2500, 0.2500], [0.2500, 0.2500, 0.7500], [0.2500, 0.7500, 0.2500], [0.2500, 0.7500, 0.7500], [0.7500, 0.2500, 0.2500], [0.7500, 0.2500, 0.7500], [0.7500, 0.7500, 0.2500], [0.7500, 0.7500, 0.7500], [0.0000, 0.0000, 0.5000], [0.0000, 0.5000, 0.0000], [0.5000, 0.0000, 0.0000], [0.5000, 0.5000, 0.5000]], "m_tot_mub_per_fu": 2.514, "e_above_lowest_polymorph_mev_per_atom": 819, "n_ef_per_ev_atom": 1.235, "vol_a3_per_atom": 14.38}


{"formula": "TaFeCl2", "functional": "PBE", "state": "relaxed", "lattice_angstrom": [[6.0714, 0.0000, 0.0000], [0.0000, 6.0714, 0.0000], [0.0000, 0.0000, 6.0714]], "species": ["Ta", "Ta", "Ta", "Ta", "Fe", "Fe", "Fe", "Fe", "Cl", "Cl", "Cl", "Cl", "Cl", "Cl", "Cl", "Cl"], "frac_coords": [[0.0000, 0.0000, 0.0000], [0.0000, 0.5000, 0.5000], [0.5000, 0.0000, 0.5000], [0.5000, 0.5000, 0.0000], [0.0000, 0.0000, 0.5000], [0.0000, 0.5000, 0.0000], [0.5000, 0.0000, 0.0000], [0.5000, 0.5000, 0.5000], [0.2500, 0.2500, 0.2500], [0.2500, 0.2500, 0.7500], [0.2500, 0.7500, 0.2500], [0.2500, 0.7500, 0.7500], [0.7500, 0.2500, 0.2500], [0.7500, 0.2500, 0.7500], [0.7500, 0.7500, 0.2500], [0.7500, 0.7500, 0.7500]], "m_tot_mub_per_fu": 0.000, "e_above_lowest_polymorph_mev_per_atom": 1218, "n_ef_per_ev_atom": 1.545, "vol_a3_per_atom": 13.99}